The following is a DFT calculation (meta-GGA SCAN) of Fe2BI at its PBEsol-relaxed geometry.

Computed properties:
ΔE_f (raw) (eV per atom): 1.334
Total magnetic moment (μB per formula unit): 2.03

Cell: 4.0542 4.0542 4.0542 Å, 60.00 60.00 60.00°
Each line ends with the local moment (μB).
Atoms (fractional coordinates):
Fe: 0.7500 0.7500 0.7500  1.13
Fe: 0.2500 0.2500 0.2500  1.13
I: 0.5000 0.5000 0.5000  -0.04
B: 0.0000 0.0000 0.0000  -0.03